P) SCAN BaLaH2, PBEsol geometry; magnetization = 2.05 μB per cell; space-group type = Fm-3m (225)
1.0
0.0000 3.3104 3.3104
3.3104 0.0000 3.3104
3.3104 3.3104 0.0000
Ba La H
1 1 2
direct
0.0000 0.0000 0.0000
0.5000 0.5000 0.5000
0.2500 0.2500 0.2500
0.7500 0.7500 0.7500



Q) SCAN BaLaH2, PBEsol geometry; magnetization = 0.00 μB per cell; space-group type = I-42d (122)
1.0
-2.8785 2.8785 5.5857
2.8785 -2.8785 5.5857
2.8785 2.8785 -5.5857
Ba La H
2 2 4
direct
0.0000 0.0000 0.0000
0.7500 0.2500 0.5000
0.2500 0.7500 0.5000
0.5000 0.5000 0.0000
0.1684 0.6250 0.0434
0.3750 0.4184 0.5434
0.5816 0.1250 0.9566
0.8750 0.8316 0.4566



Of all the structures shown, which is most stable? Q), and P) is the least stable.